PBE HgPtSe2, relaxed; VASP energy = -13.14 eV for the cell shown; size of the total moment = 0.0 μB per cell
1.0
2.945 0.000 0.000
0.000 3.785 0.000
-0.117 0.000 8.091
Hg Pt Se
1 1 2
Direct
0.000 0.000 0.000
0.010 0.500 0.753
0.007 0.000 0.564
0.998 0.500 0.238